Record 1
# TaCr2As, optimized geometry, DFT PBE
data_TaCr2As
_chemical_formula_sum 'Ta1 Cr2 As1'
_cell_length_a 4.308
_cell_length_b 4.308
_cell_length_c 4.308
_cell_angle_alpha 60.00
_cell_angle_beta 60.00
_cell_angle_gamma 60.00
_space_group_name_H-M_alt 'P 1'
_space_group_IT_number 1
loop_
_space_group_symop_operation_xyz
'x,y,z'
loop_
_atom_site_label
_atom_site_type_symbol
_atom_site_fract_x
_atom_site_fract_y
_atom_site_fract_z
As1 As 0.500 0.500 0.500
Cr1 Cr 0.000 0.000 0.000
Cr2 Cr 0.750 0.750 0.750
Ta1 Ta 0.250 0.250 0.250
# - Symmetry: F-43m
# - D(E_F): 1.26 states/eV/atom
# - Magnetic moment: 1.37 μB per formula unit
# - E_form: 0.2851 eV/atom

---

Record 2
# Ta4Nb3In, optimized geometry, DFT PBE
data_Ta4Nb3In
_chemical_formula_sum 'Ta8 Nb6 In2'
_cell_length_a 4.728
_cell_length_b 6.681
_cell_length_c 9.456
_cell_angle_alpha 90.00
_cell_angle_beta 90.00
_cell_angle_gamma 90.00
_space_group_name_H-M_alt 'P 1'
_space_group_IT_number 1
loop_
_space_group_symop_operation_xyz
'x,y,z'
loop_
_atom_site_label
_atom_site_type_symbol
_atom_site_fract_x
_atom_site_fract_y
_atom_site_fract_z
Nb1 Nb 0.000 0.000 0.000
Nb2 Nb 0.000 0.000 0.500
Nb3 Nb 0.500 0.000 0.750
Nb4 Nb 0.500 0.000 0.250
Nb5 Nb 0.500 0.500 0.750
Nb6 Nb 0.500 0.500 0.250
In1 In 0.000 0.500 0.000
In2 In 0.000 0.500 0.500
Ta1 Ta 0.500 0.765 0.000
Ta2 Ta 0.500 0.765 0.500
Ta3 Ta 0.500 0.235 0.000
Ta4 Ta 0.500 0.235 0.500
Ta5 Ta 0.000 0.765 0.750
Ta6 Ta 0.000 0.765 0.250
Ta7 Ta 0.000 0.235 0.250
Ta8 Ta 0.000 0.235 0.750
# - Symmetry: P4/mmm
# - D(E_F): 1.17 states/eV/atom
# - Magnetic moment: 0.00 μB per formula unit
# - E_form: 0.0513 eV/atom

---

Record 3
# Rb3Cu2Br4Cl2, optimized geometry, DFT PBE
data_Rb3Cu2Br4Cl2
_chemical_formula_sum 'Rb3 Cu2 Br4 Cl2'
_cell_length_a 5.014
_cell_length_b 5.014
_cell_length_c 14.306
_cell_angle_alpha 100.09
_cell_angle_beta 100.09
_cell_angle_gamma 90.00
_space_group_name_H-M_alt 'P 1'
_space_group_IT_number 1
loop_
_space_group_symop_operation_xyz
'x,y,z'
loop_
_atom_site_label
_atom_site_type_symbol
_atom_site_fract_x
_atom_site_fract_y
_atom_site_fract_z
Rb1 Rb 0.000 0.000 0.000
Rb2 Rb 0.184 0.184 0.369
Rb3 Rb 0.816 0.816 0.631
Cu1 Cu 0.390 0.390 0.781
Cu2 Cu 0.610 0.610 0.219
Br1 Br 0.412 0.912 0.823
Br2 Br 0.912 0.412 0.823
Br3 Br 0.088 0.588 0.177
Br4 Br 0.588 0.088 0.177
Cl1 Cl 0.304 0.304 0.608
Cl2 Cl 0.696 0.696 0.392
# - Symmetry: I4/mmm
# - D(E_F): 0.70 states/eV/atom
# - Formation energy without anion corrections: -1159 meV per atom
# - Magnetic moment: 0.00 μB per formula unit